The following is a DFT calculation (GGA-PBE) of a relaxed structure of BaPrNdEu.

Properties
Volume ... 671.1 Å³/cell
Total magnetization ... 7.8 μB/f.u.
E ... -5.2379 eV/atom

a = 8.755 Å, b = 8.755 Å, c = 8.755 Å
α = 90.00°, β = 90.00°, γ = 90.00°
Space group F-43m (No. 216)
Symmetry-distinct sites (fractional):
Ba 0.000 0.000 0.000
Pr 0.000 0.000 0.500
Nd 0.250 0.250 0.250
Eu 0.250 0.250 0.750